# TiAlCuTc GGA-PBE relaxed
# Total magnetization (Bohr magnetons per cell): 0.00
# Fermi-level density of states (states/eV per atom): 0.62
# ΔH_f (0 K) (kJ/mol of formula units): -156
# Polymorph energy (0 for the lowest one) (eV per atom): 0.000
data_TiAlCuTc
_cell_length_a 3.274
_cell_length_b 4.040
_cell_length_c 4.285
_cell_angle_alpha 90.00
_cell_angle_beta 90.00
_cell_angle_gamma 90.00
_symmetry_space_group_name_H-M 'P m m m'
_symmetry_Int_Tables_number 47
loop_
_symmetry_equiv_pos_as_xyz
'x,y,z'
'-x,-y,-z'
'-x,-y,z'
'x,y,-z'
'x,-y,-z'
'-x,y,z'
'-x,y,-z'
'x,-y,z'
loop_
_atom_site_label
_atom_site_type_symbol
_atom_site_fract_x
_atom_site_fract_y
_atom_site_fract_z
Ti1 Ti 0.000 0.000 0.000
Al1 Al 0.000 0.500 0.500
Cu1 Cu 0.500 0.000 0.500
Tc1 Tc 0.500 0.500 0.000